Here is an optimized crystal structure of Ba2BeHBr from Alexandria via LeMat-Bulk. Energies are from GGA-PBEsol. Values from VASP.

As for the total energy: -12.56 eV for the cell shown. The density of states at the Fermi level comes out at 0.86 states/eV per atom. The value obtained for the density is 3.708 Mg/m³. Its total magnetization is 0.0 μB/f.u.

```
&SYSTEM
  ibrav = 0, nat = 5, ntyp = 4
/
ATOMIC_SPECIES
Ba 137.33 Ba.upf
Be 9.01 Be.upf
H 1.01 H.upf
Br 79.90 Br.upf
ATOMIC_POSITIONS crystal
Ba 0.000 0.500 0.000
Ba 0.500 0.000 0.000
Be 0.000 0.000 0.000
H 0.500 0.500 0.500
Br 0.000 0.000 0.500
CELL_PARAMETERS angstrom
5.814 0.000 0.000
0.000 5.814 0.000
0.000 0.000 4.829
```